Fe2B2Mo | GGA-PBE | optimized geometry

abc: 4.0325 4.0325 4.5321
angles: 90.00 90.00 90.00
Closest atoms and distances in Å follow each position.
Space group P4/mmm (No. 123)
Asymmetric unit:
Fe  0.0000  0.0000  0.0000 x1  2 Mo 2.27
Fe  0.5000  0.5000  0.0000 x1  4 Fe 2.85, 8 B 3.03
B  0.0000  0.5000  0.5000 x2  2 Mo 2.02
Mo  0.0000  0.0000  0.5000 x1  4 B 2.02

**Energy of formation**: 178 kJ per mole of atoms
**Total DFT energy (no corrections)**: -31.87 eV for the cell shown
**Calculated density**: 5.17 Mg/m³
**Calculated volume**: 73.7 Å³ per cell
**N(E_F)**: 9.27 states/eV per cell